This record from Alexandria via LeMat-Bulk describes crystalline LiNd2Cu6 at its relaxed geometry. The functional is GGA-PBE.

Geometry as POSCAR:
```
LiNd2Cu6
1.0
5.097 -2.655 0.000
5.097 2.655 0.000
-0.170 0.000 5.744
Li Nd Cu
1 2 6
Direct
0.000 0.000 0.000
0.338 0.338 0.846
0.662 0.662 0.154
0.168 0.659 0.344
0.200 0.200 0.354
0.341 0.832 0.656
0.659 0.168 0.344
0.800 0.800 0.646
0.832 0.341 0.656
```

Summary:
magnetization = 0.000 Bohr magnetons per cell
ΔE_f = -70 meV/atom
space-group type = C2/m
uncorrected energy = -36.7 eV/cell